9
Lattice="-3.623 -0.977 1.646 -0.040 -3.484 -2.157 5.019 -5.044 8.053" Properties=species:S:1:pos:R:3 comment="NdHfAs2Rh5 (GGA-PBE, relaxed)" energy_ev_per_cell=-66.2 ef_ev_per_atom=-0.600 n_ef_per_ev_atom=0.4244 crystal_system=tetragonal spacegroup="No. 123" pbc="T T T"
Nd 2.510 -2.522 4.026
Hf 0.000 0.000 0.000
As -0.433 -3.637 1.989
As 1.789 -5.869 5.553
Rh 0.802 -2.568 0.241
Rh -0.989 -1.315 2.143
Rh 4.177 -5.960 5.655
Rh 2.385 -4.707 7.556
Rh 0.678 -4.753 3.771